The following is a GGA-PBE calculation of Er2ZrHg after structural relaxation, from Alexandria.

Cell lengths 3.498, 3.498, 10.309 Å; angles 80.25, 80.25, 59.99 degrees
Atoms (fractional coordinates):
Er  0.252  0.252  0.243
Hg  0.667  0.667  0.001
Er  0.081  0.081  0.756
Zr  0.500  0.500  0.500

Calculated values
M_tot: 0.00 μB per formula unit
Energy above the lowest structure with this stoichiometry: 9.3 kJ/mol of atoms
Symmetry: No. 160
Formation energy: -0.121 eV/atom